# 1
Computed, not measured: an optimized crystal structure of HoMgS2 at the PBE level of DFT.

Unit cell a=3.7166 b=3.7166 c=6.9270 alpha=74.44 beta=74.44 gamma=60.00
Last column: magnetic moment on the atom in μB.
Atoms (fractional coordinates):
Ho 0.4998 0.4998 0.5006  0.49
Mg 0.6684 0.6684 0.9948  0.01
S 0.0752 0.0752 0.7743  0.00
S 0.2566 0.2566 0.2303  0.00

Results
crystal system: trigonal
DOS(E_F): 1.07 states/eV/cell

# 2
Computed, not measured: an optimized crystal structure of HoMgS3 at the PBE level of DFT.

Unit cell a=7.0014 b=7.0014 c=7.0014 alpha=57.69 beta=57.69 gamma=57.69
Atoms (fractional coordinates):
Ho 0.3497 0.3497 0.3497
Ho 0.6503 0.6503 0.6503
Mg 0.1509 0.1509 0.1509
Mg 0.8491 0.8491 0.8491
S 0.9470 0.5617 0.2353
S 0.0530 0.4383 0.7647
S 0.5617 0.2353 0.9470
S 0.4383 0.7647 0.0530
S 0.2353 0.9470 0.5617
S 0.7647 0.0530 0.4383

Results
crystal system: trigonal
DOS(E_F): 10.64 states/eV/cell

# 3
Computed, not measured: an optimized crystal structure of Ho4MgS7 at the PBE level of DFT.

Unit cell a=6.5622 b=6.5622 c=11.4560 alpha=75.59 beta=75.59 gamma=33.57
Atoms (fractional coordinates):
Ho 0.6909 0.6909 0.2078
Ho 0.3043 0.3043 0.8044
Ho 0.9977 0.9977 0.0054
Ho 0.1147 0.1147 0.5683
Mg 0.8866 0.8866 0.4213
S 0.7443 0.7443 0.6411
S 0.2679 0.2679 0.3535
S 0.3371 0.3371 0.0520
S 0.6580 0.6580 0.9490
S 0.0358 0.0358 0.2222
S 0.9606 0.9606 0.7846
S 0.5021 0.5021 0.4903

Results
crystal system: monoclinic

# 4
Computed, not measured: an optimized crystal structure of HoMgS3 at the PBE level of DFT.

Unit cell a=6.9095 b=6.9095 c=6.7596 alpha=73.76 beta=73.76 gamma=112.40
Last column: magnetic moment on the atom in μB.
Atoms (fractional coordinates):
Ho 0.7823 0.7823 0.2507  0.00
Ho 0.2177 0.2177 0.7493  0.00
Mg 0.6610 0.3390 0.0000  0.00
Mg 0.3390 0.6610 0.0000  0.00
S 0.9271 0.2279 0.1490  0.29
S 0.0729 0.7721 0.8510  0.29
S 0.7721 0.0729 0.8510  0.29
S 0.2279 0.9271 0.1490  0.29
S 0.5835 0.5835 0.7081  0.04
S 0.4165 0.4165 0.2919  0.04

Results
crystal system: monoclinic
DOS(E_F): 0.19 states/eV/cell

# 5
Computed, not measured: an optimized crystal structure of HoMg4S5 at the PBE level of DFT.

Unit cell a=3.7532 b=3.7532 c=13.6117 alpha=97.92 beta=97.92 gamma=90.00
Atoms (fractional coordinates):
Ho 0.0000 0.0000 0.0000
Mg 0.3958 0.3958 0.7915
Mg 0.7985 0.7985 0.5970
Mg 0.2015 0.2015 0.4030
Mg 0.6042 0.6042 0.2085
S 0.1037 0.1037 0.2074
S 0.5000 0.5000 0.0000
S 0.8963 0.8963 0.7926
S 0.2987 0.2987 0.5975
S 0.7013 0.7013 0.4025

Results
crystal system: tetragonal
DOS(E_F): 1.75 states/eV/cell

# 6
Computed, not measured: an optimized crystal structure of Ho2MgS at the PBE level of DFT.

Unit cell a=3.7257 b=3.7257 c=8.8138 alpha=77.80 beta=77.80 gamma=60.00
Atoms (fractional coordinates):
Ho 0.0630 0.0630 0.8110
Ho 0.2701 0.2701 0.1896
Mg 0.4997 0.4997 0.5009
S 0.6672 0.6672 0.9985

Results
crystal system: trigonal
DOS(E_F): 4.00 states/eV/cell

# 7
Computed, not measured: an optimized crystal structure of Ho6MgS8 at the PBE level of DFT.

Unit cell a=7.7334 b=7.7334 c=7.7334 alpha=60.00 beta=60.00 gamma=60.00
Atoms (fractional coordinates):
Ho 0.0000 0.5000 0.5000
Ho 0.5000 0.0000 0.0000
Ho 0.5000 0.5000 0.0000
Ho 0.0000 0.0000 0.5000
Ho 0.0000 0.5000 0.0000
Ho 0.5000 0.0000 0.5000
Mg 0.0000 0.0000 0.0000
S 0.7500 0.7500 0.7500
S 0.2500 0.2500 0.2500
S 0.7581 0.2419 0.2419
S 0.2419 0.7581 0.7581
S 0.2419 0.2419 0.7581
S 0.7581 0.7581 0.2419
S 0.7581 0.2419 0.7581
S 0.2419 0.7581 0.2419

Results
crystal system: cubic
DOS(E_F): 3.69 states/eV/cell

# 8
Computed, not measured: an optimized crystal structure of HoMg2S4 at the PBE level of DFT.

Unit cell a=7.8642 b=7.7247 c=7.7247 alpha=57.71 beta=59.40 gamma=59.40
Atoms (fractional coordinates):
Ho 0.0000 0.5000 0.0000
Ho 0.5000 0.5000 0.0000
Mg 0.1166 0.1334 0.6334
Mg 0.5000 0.0000 0.0000
Mg 0.5000 0.5000 0.5000
Mg 0.8834 0.8666 0.3666
S 0.2612 0.2413 0.2363
S 0.2612 0.7363 0.7413
S 0.2626 0.2532 0.7532
S 0.7309 0.2532 0.7532
S 0.2691 0.7468 0.2468
S 0.7388 0.2637 0.2587
S 0.7374 0.7468 0.2468
S 0.7388 0.7587 0.7637

Results
crystal system: orthorhombic
DOS(E_F): 12.71 states/eV/cell

# 9
Computed, not measured: an optimized crystal structure of HoMgSc4S8 at the PBE level of DFT.

Unit cell a=7.6116 b=7.6116 c=7.6949 alpha=60.36 beta=60.36 gamma=60.00
Atoms (fractional coordinates):
Ho 0.0015 0.0015 0.9956
Mg 0.3740 0.3740 0.8780
Sc 0.6269 0.6269 0.1193
Sc 0.0024 0.4925 0.5026
Sc 0.4925 0.0024 0.5026
Sc 0.0024 0.0024 0.5026
S 0.2493 0.7683 0.7330
S 0.7683 0.2493 0.7330
S 0.2493 0.2493 0.7330
S 0.2429 0.2429 0.2713
S 0.7502 0.2315 0.2681
S 0.2315 0.7502 0.2681
S 0.7502 0.7502 0.2681
S 0.7584 0.7584 0.7249

Results
crystal system: trigonal
DOS(E_F): 4.99 states/eV/cell

# 10
Computed, not measured: an optimized crystal structure of HoMgScS4 at the PBE level of DFT.

Unit cell a=7.6594 b=7.7214 c=7.7214 alpha=60.52 beta=60.27 gamma=60.27
Atoms (fractional coordinates):
Ho 0.0000 0.0000 0.0000
Ho 0.0000 0.5000 0.5000
Mg 0.6256 0.6244 0.1244
Mg 0.3744 0.3756 0.8756
Sc 0.5000 0.0000 0.5000
Sc 0.0000 0.0000 0.5000
S 0.7512 0.7685 0.7291
S 0.2488 0.7709 0.7315
S 0.7512 0.2291 0.2685
S 0.2488 0.2315 0.2709
S 0.2325 0.7620 0.2620
S 0.7434 0.7620 0.2620
S 0.2566 0.2380 0.7380
S 0.7675 0.2380 0.7380

Results
crystal system: orthorhombic
DOS(E_F): 0.00 states/eV/cell

# 11
Computed, not measured: an optimized crystal structure of Ho4MgScS8 at the PBE level of DFT.

Unit cell a=7.9130 b=7.9130 c=7.8291 alpha=59.64 beta=59.64 gamma=60.00
Atoms (fractional coordinates):
Ho 0.6225 0.6225 0.1324
Ho 0.0024 0.4924 0.5027
Ho 0.4924 0.0024 0.5027
Ho 0.0024 0.0024 0.5027
Mg 0.3756 0.3756 0.8732
Sc 0.0034 0.0034 0.9898
S 0.2408 0.7648 0.7537
S 0.7648 0.2408 0.7537
S 0.2408 0.2408 0.7537
S 0.2458 0.2458 0.2625
S 0.7652 0.2211 0.2485
S 0.2211 0.7652 0.2485
S 0.7652 0.7652 0.2485
S 0.7574 0.7574 0.7277

Results
crystal system: trigonal
DOS(E_F): 4.11 states/eV/cell

# 12
Computed, not measured: an optimized crystal structure of Ho6MgSe2S3 at the PBE level of DFT.

Unit cell a=3.9118 b=8.2187 c=9.0108 alpha=103.67 beta=102.54 gamma=90.00
Atoms (fractional coordinates):
Ho 0.3265 0.9277 0.6530
Ho 0.6615 0.5939 0.3230
Ho 0.6735 0.0723 0.3470
Ho 0.9957 0.2744 0.9915
Ho 0.0043 0.7256 0.0085
Ho 0.3385 0.4061 0.6770
Mg 0.5000 0.0000 0.0000
Se 0.8316 0.6636 0.6632
Se 0.1684 0.3364 0.3368
S 0.5000 0.5000 0.0000
S 0.8313 0.1692 0.6626
S 0.1687 0.8308 0.3374

Results
crystal system: monoclinic
DOS(E_F): 7.02 states/eV/cell

# 13
Computed, not measured: an optimized crystal structure of Sm3Ho3MgS8 at the PBE level of DFT.

Unit cell a=7.8157 b=7.8157 c=7.8855 alpha=119.71 beta=90.00 gamma=120.00
Atoms (fractional coordinates):
Sm 0.0000 0.0000 0.0000
Sm 0.0000 0.5000 0.0000
Sm 0.5000 0.5000 0.0000
Ho 0.5000 0.0000 0.5000
Ho 0.5000 0.5000 0.5000
Ho 0.0000 0.5000 0.5000
Mg 0.0000 0.0000 0.5000
S 0.2537 0.5075 0.2612
S 0.7463 0.4925 0.7388
S 0.7603 0.5205 0.2673
S 0.2397 0.4795 0.7327
S 0.7602 0.0071 0.2673
S 0.2398 0.9929 0.7327
S 0.2469 0.0071 0.2673
S 0.7531 0.9929 0.7327

Results
crystal system: trigonal
DOS(E_F): 3.05 states/eV/cell

# 14
Computed, not measured: an optimized crystal structure of TbHo4MgS8 at the PBE level of DFT.

Unit cell a=7.9496 b=7.9496 c=7.9568 alpha=60.03 beta=60.03 gamma=60.00
Atoms (fractional coordinates):
Tb 0.0027 0.0027 0.9920
Ho 0.6251 0.6251 0.1248
Ho 0.0027 0.4919 0.5027
Ho 0.4919 0.0027 0.5027
Ho 0.0027 0.0027 0.5027
Mg 0.3751 0.3751 0.8748
S 0.2474 0.7614 0.7438
S 0.7614 0.2474 0.7438
S 0.2474 0.2474 0.7438
S 0.2460 0.2460 0.2621
S 0.7568 0.2258 0.2606
S 0.2258 0.7568 0.2606
S 0.7568 0.7568 0.2606
S 0.7584 0.7584 0.7248

Results
crystal system: trigonal
DOS(E_F): 3.39 states/eV/cell

# 15
Computed, not measured: an optimized crystal structure of Tb2HoMgS4 at the PBE level of DFT.

Unit cell a=3.8300 b=6.7022 c=6.7500 alpha=108.98 beta=90.00 gamma=90.00
Atoms (fractional coordinates):
Tb 0.5000 0.0000 0.5000
Tb 0.0000 0.5000 0.5000
Ho 0.5000 0.5000 0.0000
Mg 0.0000 0.0000 0.0000
S 0.5000 0.2346 0.2320
S 0.5000 0.7654 0.7680
S 0.0000 0.2434 0.7620
S 0.0000 0.7566 0.2380

Results
crystal system: monoclinic
DOS(E_F): 3.19 states/eV/cell

# 16
Computed, not measured: an optimized crystal structure of Tb4HoMgS8 at the PBE level of DFT.

Unit cell a=7.9984 b=7.9984 c=7.9909 alpha=59.97 beta=59.97 gamma=60.00
Atoms (fractional coordinates):
Tb 0.6248 0.6248 0.1257
Tb 0.0027 0.4920 0.5026
Tb 0.4920 0.0027 0.5026
Tb 0.0027 0.0027 0.5026
Ho 0.0028 0.0028 0.9916
Mg 0.3749 0.3749 0.8754
S 0.2453 0.7609 0.7486
S 0.7609 0.2453 0.7486
S 0.2453 0.2453 0.7486
S 0.2466 0.2466 0.2603
S 0.7601 0.2238 0.2560
S 0.2238 0.7601 0.2560
S 0.7601 0.7601 0.2560
S 0.7582 0.7582 0.7253

Results
crystal system: trigonal
DOS(E_F): 3.42 states/eV/cell

# 17
Computed, not measured: an optimized crystal structure of TbHoMgS4 at the PBE level of DFT.

Unit cell a=7.8913 b=7.9042 c=7.9042 alpha=60.07 beta=60.05 gamma=60.05
Atoms (fractional coordinates):
Tb 0.0000 0.0000 0.0000
Tb 0.0000 0.5000 0.5000
Ho 0.5000 0.0000 0.5000
Ho 0.0000 0.0000 0.5000
Mg 0.6251 0.6249 0.1249
Mg 0.3749 0.3751 0.8751
S 0.7537 0.7569 0.7356
S 0.2463 0.7644 0.7431
S 0.7537 0.2356 0.2569
S 0.2463 0.2431 0.2644
S 0.2363 0.7558 0.2558
S 0.7521 0.7558 0.2558
S 0.2479 0.2442 0.7442
S 0.7637 0.2442 0.7442

Results
crystal system: orthorhombic
DOS(E_F): 0.00 states/eV/cell

# 18
Computed, not measured: an optimized crystal structure of Ho3Tm3MgS8 at the PBE level of DFT.

Unit cell a=7.6864 b=7.6864 c=7.7042 alpha=119.92 beta=90.00 gamma=120.00
Atoms (fractional coordinates):
Ho 0.0000 0.0000 0.0000
Ho 0.0000 0.5000 0.0000
Ho 0.5000 0.5000 0.0000
Tm 0.5000 0.0000 0.5000
Tm 0.5000 0.5000 0.5000
Tm 0.0000 0.5000 0.5000
Mg 0.0000 0.0000 0.5000
S 0.2513 0.5025 0.2538
S 0.7487 0.4975 0.7462
S 0.7574 0.5149 0.2599
S 0.2426 0.4851 0.7401
S 0.7574 0.0025 0.2599
S 0.2426 0.9975 0.7401
S 0.2450 0.0025 0.2599
S 0.7550 0.9975 0.7401

Results
crystal system: trigonal
DOS(E_F): 3.63 states/eV/cell

# 19
Computed, not measured: an optimized crystal structure of Ho4TmMgS8 at the PBE level of DFT.

Unit cell a=7.9288 b=7.9288 c=7.9228 alpha=59.97 beta=59.97 gamma=60.00
Atoms (fractional coordinates):
Ho 0.6248 0.6248 0.1256
Ho 0.0027 0.4920 0.5027
Ho 0.4920 0.0027 0.5027
Ho 0.0027 0.0027 0.5027
Tm 0.0028 0.0028 0.9916
Mg 0.3749 0.3749 0.8754
S 0.2447 0.7626 0.7479
S 0.7626 0.2447 0.7479
S 0.2447 0.2447 0.7479
S 0.2460 0.2460 0.2621
S 0.7600 0.2241 0.2560
S 0.2241 0.7600 0.2560
S 0.7600 0.7600 0.2560
S 0.7582 0.7582 0.7255

Results
crystal system: trigonal
DOS(E_F): 3.25 states/eV/cell

# 20
Computed, not measured: an optimized crystal structure of HoTmMgS4 at the PBE level of DFT.

Unit cell a=7.8360 b=7.8480 c=7.8480 alpha=60.07 beta=60.05 gamma=60.05
Atoms (fractional coordinates):
Ho 0.0000 0.0000 0.0000
Ho 0.0000 0.5000 0.5000
Tm 0.5000 0.0000 0.5000
Tm 0.0000 0.0000 0.5000
Mg 0.6251 0.6249 0.1249
Mg 0.3749 0.3751 0.8751
S 0.7543 0.7574 0.7340
S 0.2457 0.7660 0.7426
S 0.7543 0.2340 0.2574
S 0.2457 0.2426 0.2660
S 0.2347 0.7563 0.2563
S 0.7527 0.7563 0.2563
S 0.2473 0.2437 0.7437
S 0.7653 0.2437 0.7437

Results
crystal system: orthorhombic
DOS(E_F): 0.00 states/eV/cell

Asked for energy relative to the elements, uncorrected across the records above, the calculation gives -1.610 -1.346 -1.950 -1.263 -1.484 -0.923 -1.969 -1.370 -1.823 -1.833 -1.892 -1.478 -1.973 -1.919 -1.791 -1.917 -1.887 -1.958 -1.919 -1.898 eV per atom in order.